[1]
# Na3ReH

A relaxed structure of Na3ReH (PBEsol, Alexandria). Values from VASP.

Cell and atoms, written as Quantum ESPRESSO input:
```
&SYSTEM
  ibrav = 0, nat = 5, ntyp = 3
/
ATOMIC_SPECIES
Na 22.99 Na.upf
Re 186.21 Re.upf
H 1.01 H.upf
ATOMIC_POSITIONS angstrom
Na 1.187 1.051 2.436
Na -0.700 2.698 -0.823
Na -2.559 -0.250 1.355
Re 0.000 0.000 0.000
H -2.072 3.499 2.967
CELL_PARAMETERS angstrom
-1.399 5.396 -1.647
-5.118 -0.501 2.709
2.373 2.102 4.872
```

Calculated values
uncorrected energy: -2.324 eV/atom



[2]
# K3Cu2P4HO14

A relaxed structure of K3Cu2P4HO14 (PBEsol, Alexandria). Values from VASP.

Cell and atoms, written as Quantum ESPRESSO input:
```
&SYSTEM
  ibrav = 0, nat = 24, ntyp = 5
/
ATOMIC_SPECIES
O 16.00 O.upf
P 30.97 P.upf
K 39.10 K.upf
Cu 63.55 Cu.upf
H 1.01 H.upf
ATOMIC_POSITIONS angstrom
O -4.445 2.064 0.925
O -3.289 0.317 -1.002
O -1.925 -1.013 0.694
O -7.107 -0.072 8.765
O -7.647 -0.705 5.283
O -5.145 -0.699 4.754
O -3.749 -2.172 -0.634
O -6.030 0.723 6.620
O -2.749 0.950 2.480
O -5.251 0.944 3.009
O -5.952 -1.819 6.839
O -8.472 1.257 7.069
O -6.647 2.417 8.398
O -4.367 -0.478 1.144
P -6.224 -0.694 5.847
P -7.104 1.116 7.780
P -4.172 0.939 1.916
P -3.292 -0.872 -0.016
K -8.422 4.090 7.141
K -3.193 1.534 5.287
K -1.975 -3.845 0.622
Cu -5.961 -1.683 8.772
Cu -4.435 1.927 -1.008
H -5.198 0.122 3.882
CELL_PARAMETERS angstrom
-2.858 2.539 -3.600
-1.152 -5.363 0.789
-6.386 3.069 10.575
```

Calculated values
uncorrected energy: -6.595 eV/atom



[3]
# Zn2TcNi

A relaxed structure of Zn2TcNi (PBEsol, Alexandria). Values from VASP.

Cell and atoms, written as Quantum ESPRESSO input:
```
&SYSTEM
  ibrav = 0, nat = 4, ntyp = 3
/
ATOMIC_SPECIES
Zn 65.41 Zn.upf
Tc 98.00 Tc.upf
Ni 58.69 Ni.upf
ATOMIC_POSITIONS angstrom
Zn 0.000 2.321 -0.013
Zn 0.000 -0.795 2.181
Tc 1.263 1.526 2.168
Ni 1.263 0.000 0.000
CELL_PARAMETERS angstrom
2.526 0.000 0.000
0.000 4.642 -0.025
0.000 -1.589 4.362
```

Calculated values
E_form: 0.030 eV per atom



[4]
# SrCo2Cl

A relaxed structure of SrCo2Cl (PBEsol, Alexandria). Values from VASP.

Cell and atoms, written as Quantum ESPRESSO input:
```
&SYSTEM
  ibrav = 0, nat = 4, ntyp = 3
/
ATOMIC_SPECIES
Co 58.93 Co.upf
Sr 87.62 Sr.upf
Cl 35.45 Cl.upf
ATOMIC_POSITIONS angstrom
Co 0.000 0.000 1.651
Co 0.000 0.000 3.812
Sr 1.867 1.895 0.000
Cl 1.867 1.895 2.731
CELL_PARAMETERS angstrom
3.763 0.027 0.000
-0.029 3.764 0.000
0.000 0.000 5.463
```

Calculated values
uncorrected formation energy: 229.9 kJ/mol of formula units



Total magnetic moment (μB per cell)
3.494; 2.002; 0.001; 3.267